1.
Below is a relaxed structure of Tb2Tm2In3, with properties calculated at the PBE level.

Geometry as POSCAR:
```
Tb2Tm2In3
1.0
3.7182 -0.0050 0.0050
-1.8463 6.3780 -1.2351
-0.0139 -1.8482 8.7472
In Tb Tm
3 2 2
direct
0.3171 0.6334 0.7901 In
0.6829 0.3666 0.2099 In
0.0000 0.0000 0.0000 In
0.1152 0.2309 0.4523 Tb
0.8848 0.7691 0.5477 Tb
0.6259 0.2520 0.8170 Tm
0.3741 0.7480 0.1830 Tm
```

Calculated values
- Energy: -4.045 eV/atom
- Formation enthalpy at 0 K: -271 meV/atom
- Offset from the most stable computed form: 135 meV/atom
- Symmetry: C2/m, No. 12
- M_tot: 0.0 μB per formula unit

---

2.
Below is a relaxed structure of Tb2Tm3In3, with properties calculated at the PBE level.

Geometry as POSCAR:
```
Tb2Tm3In3
1.0
-2.1723 -3.3411 2.0314
3.6486 -0.4704 3.1279
-5.1449 8.4992 3.5523
Tm Tb In
3 2 3
direct
0.3818 0.3818 0.7637 Tm
0.5000 0.0000 0.0000 Tm
0.6182 0.6182 0.2363 Tm
0.2595 0.7595 0.5190 Tb
0.7405 0.2405 0.4810 Tb
0.8759 0.8759 0.7518 In
0.1241 0.1241 0.2482 In
0.0000 0.5000 0.0000 In
```

Calculated values
- Energy: -4.198 eV/atom
- Formation enthalpy at 0 K: -337 meV/atom
- Symmetry: Immm, No. 71
- M_tot: 0.0 μB per formula unit